[1]
# Tl8Hg4As PBE optimized geometry
# Space-group type: Pmm2, No. 25
# Energy relative to the elements (eV/atom): 0.04
# DOS(E_F) (states/eV/cell): 5.3
# Uncorrected energy (eV per atom): -1.86
data_Tl8Hg4As
_chemical_formula_sum 'Tl8 Hg4 As1'
_symmetry_space_group_name_H-M 'P 1'
_symmetry_Int_Tables_number 1
_cell_length_a 4.7258
_cell_length_b 4.6753
_cell_length_c 18.0565
_cell_angle_alpha 90.00
_cell_angle_beta 90.00
_cell_angle_gamma 90.00
loop_
_symmetry_equiv_pos_as_xyz
'x,y,z'
loop_
_atom_site_label
_atom_site_type_symbol
_atom_site_fract_x
_atom_site_fract_y
_atom_site_fract_z
_atom_site_occupancy
Tl1 Tl 0.0000 0.0000 0.4696 1
Tl2 Tl 0.0000 0.5000 0.9102 1
Tl3 Tl 0.5000 0.5000 0.0653 1
Tl4 Tl 0.5000 0.0000 0.6105 1
Tl5 Tl 0.0000 0.5000 0.2125 1
Tl6 Tl 0.0000 0.0000 0.7616 1
Tl7 Tl 0.5000 0.0000 0.2150 1
Tl8 Tl 0.5000 0.5000 0.7600 1
Hg1 Hg 0.0000 0.0000 0.0525 1
Hg2 Hg 0.0000 0.5000 0.6126 1
Hg3 Hg 0.5000 0.5000 0.4118 1
Hg4 Hg 0.5000 0.0000 0.9081 1
As1 As 0.0000 0.0000 0.3133 1

=====

[2]
# Tb3Si2Ni2 PBE optimized geometry
# Space-group type: Pbcm, No. 57
# Energy relative to the elements, uncorrected (eV/atom): -0.708
# DOS(E_F) (states/eV/cell): 21.6
# Uncorrected energy (eV per atom): -5.89
data_Tb3Si2Ni2
_chemical_formula_sum 'Tb12 Si8 Ni8'
_symmetry_space_group_name_H-M 'P 1'
_symmetry_Int_Tables_number 1
_cell_length_a 5.5275
_cell_length_b 7.7651
_cell_length_c 12.5282
_cell_angle_alpha 90.00
_cell_angle_beta 90.00
_cell_angle_gamma 90.00
loop_
_symmetry_equiv_pos_as_xyz
'x,y,z'
loop_
_atom_site_label
_atom_site_type_symbol
_atom_site_fract_x
_atom_site_fract_y
_atom_site_fract_z
_atom_site_occupancy
Tb1 Tb 0.1329 0.6088 0.1021 1
Tb2 Tb 0.8671 0.3912 0.6021 1
Tb3 Tb 0.8671 0.1088 0.3979 1
Tb4 Tb 0.1329 0.8912 0.8979 1
Tb5 Tb 0.8671 0.3912 0.8979 1
Tb6 Tb 0.1329 0.6088 0.3979 1
Tb7 Tb 0.1329 0.8912 0.6021 1
Tb8 Tb 0.8671 0.1088 0.1021 1
Tb9 Tb 0.3621 0.2521 0.2500 1
Tb10 Tb 0.6379 0.7479 0.7500 1
Tb11 Tb 0.6379 0.7521 0.2500 1
Tb12 Tb 0.3621 0.2479 0.7500 1
Si1 Si 0.3601 0.2500 0.0000 1
Si2 Si 0.6399 0.7500 0.5000 1
Si3 Si 0.6399 0.7500 0.0000 1
Si4 Si 0.3601 0.2500 0.5000 1
Si5 Si 0.8395 0.4032 0.2500 1
Si6 Si 0.1605 0.5968 0.7500 1
Si7 Si 0.1605 0.9032 0.2500 1
Si8 Si 0.8395 0.0968 0.7500 1
Ni1 Ni 0.6161 0.4650 0.0886 1
Ni2 Ni 0.3839 0.5350 0.5886 1
Ni3 Ni 0.3839 0.9650 0.4114 1
Ni4 Ni 0.6161 0.0350 0.9114 1
Ni5 Ni 0.3839 0.5350 0.9114 1
Ni6 Ni 0.6161 0.4650 0.4114 1
Ni7 Ni 0.6161 0.0350 0.5886 1
Ni8 Ni 0.3839 0.9650 0.0886 1

=====

[3]
# Li3Ge PBE optimized geometry
# Space-group type: P6_3/mmc, No. 194
# Energy relative to the elements (eV/atom): -0.26
# DOS(E_F) (states/eV/cell): 3.8
# Uncorrected energy (eV per atom): -2.85
# Relative energy among the computed polymorphs (kJ/mol of formula units): 24.6
data_Li3Ge
_chemical_formula_sum 'Li6 Ge2'
_symmetry_space_group_name_H-M 'P 1'
_symmetry_Int_Tables_number 1
_cell_length_a 4.4752
_cell_length_b 5.7272
_cell_length_c 5.7272
_cell_angle_alpha 120.00
_cell_angle_beta 90.00
_cell_angle_gamma 90.00
loop_
_symmetry_equiv_pos_as_xyz
'x,y,z'
loop_
_atom_site_label
_atom_site_type_symbol
_atom_site_fract_x
_atom_site_fract_y
_atom_site_fract_z
_atom_site_occupancy
Li1 Li 0.2500 0.8228 0.1772 1
Li2 Li 0.2500 0.3543 0.1772 1
Li3 Li 0.2500 0.8228 0.6457 1
Li4 Li 0.7500 0.1772 0.8228 1
Li5 Li 0.7500 0.6457 0.8228 1
Li6 Li 0.7500 0.1772 0.3543 1
Ge1 Ge 0.7500 0.6667 0.3333 1
Ge2 Ge 0.2500 0.3333 0.6667 1

=====

[4]
# Pr2Si3Au2 PBE optimized geometry
# Space-group type: Cmcm, No. 63
# Energy relative to the elements, uncorrected (eV/atom): -0.684
# DOS(E_F) (states/eV/cell): 4.4
# Uncorrected energy (eV per atom): -5.31
data_Pr2Si3Au2
_chemical_formula_sum 'Pr4 Si6 Au4'
_symmetry_space_group_name_H-M 'P 1'
_symmetry_Int_Tables_number 1
_cell_length_a 4.4708
_cell_length_b 7.0306
_cell_length_c 9.5215
_cell_angle_alpha 90.00
_cell_angle_beta 103.58
_cell_angle_gamma 90.00
loop_
_symmetry_equiv_pos_as_xyz
'x,y,z'
loop_
_atom_site_label
_atom_site_type_symbol
_atom_site_fract_x
_atom_site_fract_y
_atom_site_fract_z
_atom_site_occupancy
Pr1 Pr 0.1545 0.2500 0.3089 1
Pr2 Pr 0.8455 0.7500 0.6911 1
Pr3 Pr 0.9483 0.2500 0.8966 1
Pr4 Pr 0.0517 0.7500 0.1034 1
Si1 Si 0.2229 0.7500 0.4459 1
Si2 Si 0.7771 0.2500 0.5541 1
Si3 Si 0.5560 0.4216 0.1120 1
Si4 Si 0.4440 0.5784 0.8880 1
Si5 Si 0.4440 0.9216 0.8880 1
Si6 Si 0.5560 0.0784 0.1120 1
Au1 Au 0.6839 0.9489 0.3679 1
Au2 Au 0.3161 0.0511 0.6321 1
Au3 Au 0.3161 0.4489 0.6321 1
Au4 Au 0.6839 0.5511 0.3679 1